[1]
Computed, not measured: a geometry-optimized SnPHO5 structure at the PBE-GGA level of DFT.

Values from the calculation:
* energy above the lowest structure with this stoichiometry: 0.000 eV/atom
* calculated total energy: -6.49 eV/atom
* M_tot: 0.000 μB per formula unit
* DOS at the Fermi energy: 0.000 states/eV/atom

The structure in CIF format:
```
data_SnPHO5
_cell_length_a 5.359
_cell_length_b 5.363
_cell_length_c 7.580
_cell_angle_alpha 106.25
_cell_angle_beta 108.18
_cell_angle_gamma 98.68
_symmetry_space_group_name_H-M 'P 1'
_symmetry_Int_Tables_number 1
_symmetry_space_group_name_Hall 'P 1'
loop_
_atom_site_label
_atom_site_type_symbol
_atom_site_fract_x
_atom_site_fract_y
_atom_site_fract_z
Sn1 Sn 0.000 0.000 0.000
Sn2 Sn 0.500 0.500 0.500
P1 P 0.094 0.430 0.762
P2 P 0.906 0.570 0.238
H1 H 0.344 0.977 0.314
H2 H 0.656 0.023 0.686
O1 O 0.177 0.292 0.916
O2 O 0.180 0.738 0.862
O3 O 0.224 0.675 0.349
O4 O 0.232 0.349 0.612
O5 O 0.343 0.132 0.265
O6 O 0.657 0.868 0.735
O7 O 0.768 0.651 0.388
O8 O 0.776 0.325 0.651
O9 O 0.820 0.262 0.138
O10 O 0.823 0.708 0.084
```

[2]
Computed, not measured: a geometry-optimized SnPHO5 structure at the PBE-GGA level of DFT.

Values from the calculation:
* energy above the lowest structure with this stoichiometry: 0.700 eV/atom
* calculated total energy: -5.79 eV/atom
* M_tot: 0.000 μB per formula unit

The structure in CIF format:
```
data_SnPHO5
_cell_length_a 4.567
_cell_length_b 7.257
_cell_length_c 7.635
_cell_angle_alpha 116.21
_cell_angle_beta 101.77
_cell_angle_gamma 93.07
_symmetry_space_group_name_H-M 'P 1'
_symmetry_Int_Tables_number 1
_symmetry_space_group_name_Hall 'P 1'
loop_
_atom_site_label
_atom_site_type_symbol
_atom_site_fract_x
_atom_site_fract_y
_atom_site_fract_z
Sn1 Sn 0.000 0.000 0.000
Sn2 Sn 0.500 0.500 0.000
P1 P 0.213 0.449 0.239
P2 P 0.787 0.551 0.761
H1 H 0.367 0.702 0.551
H2 H 0.633 0.298 0.449
O1 O 0.117 0.654 0.906
O2 O 0.180 0.642 0.433
O3 O 0.258 0.198 0.781
O4 O 0.297 0.040 0.840
O5 O 0.321 0.268 0.280
O6 O 0.679 0.732 0.720
O7 O 0.703 0.960 0.160
O8 O 0.742 0.802 0.219
O9 O 0.820 0.358 0.567
O10 O 0.883 0.346 0.094
```

[3]
Computed, not measured: a geometry-optimized SnP2HO structure at the PBE-GGA level of DFT.

Values from the calculation:
* energy above the lowest structure with this stoichiometry: 0.853 eV/atom
* calculated total energy: -3.50 eV/atom
* M_tot: 2.440 μB per formula unit
* DOS at the Fermi energy: 1.075 states/eV/atom

The structure in CIF format:
```
data_SnP2HO
_cell_length_a 5.219
_cell_length_b 5.219
_cell_length_c 4.018
_cell_angle_alpha 90.00
_cell_angle_beta 90.00
_cell_angle_gamma 90.00
_symmetry_space_group_name_H-M 'P 1'
_symmetry_Int_Tables_number 1
_symmetry_space_group_name_Hall 'P 1'
loop_
_atom_site_label
_atom_site_type_symbol
_atom_site_fract_x
_atom_site_fract_y
_atom_site_fract_z
Sn1 Sn 0.000 0.000 0.000
P1 P 0.000 0.500 0.000
P2 P 0.500 0.000 0.000
H1 H 0.500 0.500 0.500
O1 O 0.000 0.000 0.500
```

Q: energy above the lowest structure with this stoichiometry of number 1 (SnPHO5)?
A: 0.000 eV/atom